(1)
UTiCl | Alexandria via LeMat-Bulk | PBE-GGA | relaxed; symmetry = P1, No. 1; formation energy (no corrections) = -329 meV/atom; total magnetic moment = 2.94 μB/cell
1.0
0.145 -5.430 0.561
0.916 -4.190 3.267
-9.083 4.640 -2.980
U Cl Ti
2 2 2
Direct
0.389 0.794 0.091 U
0.234 0.601 0.803 U
0.007 0.195 0.719 Cl
0.319 0.076 0.440 Cl
0.769 0.133 0.267 Ti
0.420 0.154 0.981 Ti

(2)
TiV2Cl6 | Alexandria via LeMat-Bulk | PBE-GGA | relaxed; symmetry = C2/m, No. 12; formation energy (no corrections) = -1236 meV/atom; total magnetic moment = 4.06 μB/cell; energy above the lowest structure with this stoichiometry = 0.0 meV/atom
1.0
3.579 0.000 0.000
-1.790 6.347 -2.757
0.000 -0.351 9.442
Cl V Ti
6 2 1
Direct
0.296 0.592 0.891 Cl
0.974 0.947 0.220 Cl
0.026 0.053 0.780 Cl
0.638 0.277 0.551 Cl
0.704 0.408 0.109 Cl
0.362 0.723 0.449 Cl
0.342 0.684 0.178 V
0.658 0.316 0.822 V
0.000 0.000 0.500 Ti

(3)
TiVCl3 | Alexandria via LeMat-Bulk | PBE-GGA | relaxed; symmetry = Pm-3m, No. 221; formation energy (no corrections) = -372 meV/atom; total magnetic moment = 6.00 μB/cell
1.0
4.899 0.000 0.000
0.000 4.899 0.000
0.000 0.000 4.899
Cl Ti V
3 1 1
Direct
0.500 0.000 0.000 Cl
0.000 0.000 0.500 Cl
0.000 0.500 0.000 Cl
0.000 0.000 0.000 Ti
0.500 0.500 0.500 V